# 1
VASP calculation (PBE) on a relaxed structure of GeI3F4.

Lattice parameters (Å, degrees): 9.147 9.147 9.147 118.67 66.60 156.55
Positions (direct):
1 Ge 0.000 0.000 0.000
2 I 0.558 0.247 0.311
3 I 0.746 0.246 0.500
4 I 0.936 0.247 0.689
5 F 0.250 0.096 0.845
6 F 0.250 0.405 0.155
7 F 0.659 0.754 0.905
8 F 0.849 0.754 0.095

- mass density (g cm⁻³) = 3.31
- spin magnetization (Bohr magnetons per cell) = 0.00
- uncorrected formation energy (eV/atom) = -1.396
- final energy (eV/atom) = -3.49

---

# 2
VASP calculation (PBE) on a relaxed structure of InGeI2F.

Lattice parameters (Å, degrees): 6.045 6.045 4.285 90.00 90.00 90.00
Positions (direct):
1 In 0.000 0.000 0.000
2 Ge 0.500 0.500 0.500
3 I 0.000 0.500 0.500
4 I 0.500 0.000 0.500
5 F 0.500 0.500 0.000

- mass density (g cm⁻³) = 4.88
- spin magnetization (Bohr magnetons per cell) = 0.00
- uncorrected formation energy (eV/atom) = -0.836
- energy above the most stable polymorph in this dataset (meV per atom) = 0
- final energy (eV/atom) = -3.30

---

Q: Number 2 is which compound?
A: InGeI2F